Entry 1:
The following is a meta-GGA SCAN calculation of a PBEsol-optimized structure of Ru3W, from Alexandria via LeMat-Bulk.

Cell: 5.4211 13.1063 4.6946 Å, 90.00 90.00 90.00°
Last column: nearest neighbours and their distance in Å.
Element x y z (fractional)
Ru 0.0022 0.0847 0.1653  8 Ru 2.67-2.73, 4 W 2.67-2.75
Ru 0.0016 0.2500 0.5001  4 W 2.64-2.72, 8 Ru 2.67-2.74
Ru 0.0022 0.4153 0.1653  8 Ru 2.67-2.73, 4 W 2.67-2.75
Ru 0.2500 0.0836 0.6626  8 Ru 2.67-2.72, 4 W 2.68-2.72
Ru 0.2500 0.4164 0.6626  8 Ru 2.67-2.72, 4 W 2.68-2.72
Ru 0.2500 0.7500 0.9950  4 W 2.66-2.71, 8 Ru 2.67-2.74
Ru 0.4978 0.0847 0.1653  8 Ru 2.67-2.73, 4 W 2.67-2.75
Ru 0.4984 0.2500 0.5001  4 W 2.64-2.72, 8 Ru 2.67-2.74
Ru 0.4978 0.4153 0.1653  8 Ru 2.67-2.73, 4 W 2.67-2.75
Ru 0.5022 0.5847 0.8347  8 Ru 2.67-2.73, 4 W 2.67-2.75
Ru 0.5016 0.7500 0.4999  4 W 2.64-2.72, 8 Ru 2.67-2.74
Ru 0.5022 0.9153 0.8347  8 Ru 2.67-2.73, 4 W 2.67-2.75
Ru 0.7500 0.2500 0.0050  4 W 2.66-2.71, 8 Ru 2.67-2.74
Ru 0.7500 0.5836 0.3374  8 Ru 2.67-2.72, 4 W 2.68-2.72
Ru 0.7500 0.9164 0.3374  8 Ru 2.67-2.72, 4 W 2.68-2.72
Ru 0.9978 0.5847 0.8347  8 Ru 2.67-2.73, 4 W 2.67-2.75
Ru 0.9984 0.7500 0.4999  4 W 2.64-2.72, 8 Ru 2.67-2.74
Ru 0.9978 0.9153 0.8347  8 Ru 2.67-2.73, 4 W 2.67-2.75
W 0.2500 0.2500 0.9960  12 Ru 2.67-2.72
W 0.2500 0.5881 0.3369  12 Ru 2.64-2.75
W 0.2500 0.9119 0.3369  12 Ru 2.64-2.75
W 0.7500 0.0881 0.6631  12 Ru 2.64-2.75
W 0.7500 0.4119 0.6631  12 Ru 2.64-2.75
W 0.7500 0.7500 0.0040  12 Ru 2.67-2.72

* crystal system: orthorhombic
* formation energy: -6 meV per atom
* SG: Pmmn (59)
* V: 13.90 Å³/atom
* final energy: -43.55 eV per atom
* N(E_F): 0.838 states/eV/atom


Entry 2:
The following is a meta-GGA SCAN calculation of a PBEsol-optimized structure of Ru3W, from Alexandria via LeMat-Bulk.

Cell: 5.4425 5.4425 4.3220 Å, 90.00 90.00 120.00°
Last column: nearest neighbours and their distance in Å.
Element x y z (fractional)
Ru 0.1663 0.3327 0.2500  8 Ru 2.67-2.73, 4 W 2.67-2.72
Ru 0.1663 0.8337 0.2500  8 Ru 2.67-2.73, 4 W 2.67-2.72
Ru 0.3327 0.1663 0.7500  8 Ru 2.67-2.73, 4 W 2.67-2.72
Ru 0.6673 0.8337 0.2500  8 Ru 2.67-2.73, 4 W 2.67-2.72
Ru 0.8337 0.1663 0.7500  8 Ru 2.67-2.73, 4 W 2.67-2.72
Ru 0.8337 0.6673 0.7500  8 Ru 2.67-2.73, 4 W 2.67-2.72
W 0.3333 0.6667 0.7500  12 Ru 2.67-2.72
W 0.6667 0.3333 0.2500  12 Ru 2.67-2.72

* crystal system: hexagonal
* formation energy: -61 meV per atom
* SG: P6_3/mmc (194)
* V: 13.86 Å³/atom
* final energy: -43.60 eV per atom
* N(E_F): 1.046 states/eV/atom


Entry 3:
The following is a meta-GGA SCAN calculation of a PBEsol-optimized structure of Ru3W, from Alexandria via LeMat-Bulk.

Cell: 3.8154 3.8154 3.8154 Å, 90.00 90.00 90.00°
Last column: nearest neighbours and their distance in Å.
Element x y z (fractional)
Ru 0.0000 0.0000 0.5000  4 W 2.70, 8 Ru 2.70
Ru 0.0000 0.5000 0.0000  4 W 2.70, 8 Ru 2.70
Ru 0.5000 0.0000 0.0000  4 W 2.70, 8 Ru 2.70
W 0.5000 0.5000 0.5000  12 Ru 2.70

* crystal system: cubic
* formation energy: -18 meV per atom
* SG: Pm-3m (221)
* V: 13.89 Å³/atom
* final energy: -43.56 eV per atom
* N(E_F): 0.893 states/eV/atom


Entry 4:
The following is a meta-GGA SCAN calculation of a PBEsol-optimized structure of Y3RuW, from Alexandria via LeMat-Bulk.

Cell: 5.1388 5.1388 5.1388 Å, 90.00 90.00 90.00°
Last column: nearest neighbours and their distance in Å.
Element x y z (fractional)
Y 0.0000 0.0000 0.5000  2 Ru 2.57
Y 0.0000 0.5000 0.0000  2 Ru 2.57
Y 0.5000 0.0000 0.0000  2 Ru 2.57
Ru 0.0000 0.0000 0.0000  6 Y 2.57
W 0.5000 0.5000 0.5000  12 Y 3.63

* crystal system: cubic
* formation energy: 736 meV per atom
* SG: Pm-3m (221)
* V: 27.14 Å³/atom
* final energy: -36.87 eV per atom
* N(E_F): 0.781 states/eV/atom


Entry 5:
The following is a meta-GGA SCAN calculation of a PBEsol-optimized structure of Y4RuW, from Alexandria via LeMat-Bulk.

Cell: 5.7588 5.7588 5.7588 Å, 60.00 60.00 60.00°
Last column: nearest neighbours and their distance in Å.
Element x y z (fractional)
Y 0.1250 0.1250 0.1250  6 Y 2.88
Y 0.1250 0.1250 0.6250  6 Y 2.88
Y 0.1250 0.6250 0.1250  6 Y 2.88
Y 0.6250 0.1250 0.1250  6 Y 2.88
Ru 0.5000 0.5000 0.5000  12 Y 3.38, 4 W 3.53
W 0.7500 0.7500 0.7500  12 Y 3.38, 4 Ru 3.53

* crystal system: cubic
* formation energy: 1270 meV per atom
* SG: F-43m (216)
* V: 22.51 Å³/atom
* final energy: -34.71 eV per atom
* N(E_F): 1.564 states/eV/atom


Entry 6:
The following is a meta-GGA SCAN calculation of a PBEsol-optimized structure of Y2RuW, from Alexandria via LeMat-Bulk.

Cell: 3.3344 4.6093 4.9672 Å, 90.00 90.00 90.00°
Last column: nearest neighbours and their distance in Å.
Element x y z (fractional)
Y 0.0000 0.0000 0.0000  4 W 2.84, 4 Y 2.99
Y 0.5000 0.0000 0.5000  4 Ru 2.84, 4 Y 2.99
Ru 0.0000 0.5000 0.5000  4 Y 2.84, 4 W 2.99
W 0.5000 0.5000 0.0000  4 Y 2.84, 4 Ru 2.99

* crystal system: orthorhombic
* formation energy: 490 meV per atom
* SG: Pmmm (47)
* V: 19.09 Å³/atom
* final energy: -39.56 eV per atom
* N(E_F): 0.794 states/eV/atom


Entry 7:
The following is a meta-GGA SCAN calculation of a PBEsol-optimized structure of ZnRu2W, from Alexandria via LeMat-Bulk.

Cell: 3.0532 3.0532 5.9758 Å, 90.00 90.00 90.00°
Last column: nearest neighbours and their distance in Å.
Element x y z (fractional)
Zn 0.0000 0.0000 0.0000  8 Ru 2.62
Ru 0.5000 0.5000 0.2487  4 Zn 2.62, 4 W 2.63
Ru 0.5000 0.5000 0.7513  4 Zn 2.62, 4 W 2.63
W 0.0000 0.0000 0.5000  8 Ru 2.63

* crystal system: tetragonal
* formation energy: -130 meV per atom
* SG: P4/mmm (123)
* V: 13.93 Å³/atom
* final energy: -38.34 eV per atom
* N(E_F): 0.423 states/eV/atom


Entry 8:
The following is a meta-GGA SCAN calculation of a PBEsol-optimized structure of ZnRu3W, from Alexandria via LeMat-Bulk.

Cell: 4.3086 4.3086 4.3086 Å, 90.00 90.00 90.00°
Last column: nearest neighbours and their distance in Å.
Element x y z (fractional)
Zn 0.0000 0.0000 0.0000  6 Ru 2.15
Ru 0.0000 0.0000 0.5000  2 Zn 2.15
Ru 0.0000 0.5000 0.0000  2 Zn 2.15
Ru 0.5000 0.0000 0.0000  2 Zn 2.15
W 0.5000 0.5000 0.5000  12 Ru 3.05

* crystal system: cubic
* formation energy: 1714 meV per atom
* SG: Pm-3m (221)
* V: 16.00 Å³/atom
* final energy: -35.82 eV per atom
* N(E_F): 0.677 states/eV/atom


Question: The highest V belongs to which entry?
Answer: Y3RuW


Question: N(E_F) of number 8 (ZnRu3W)?
Answer: 0.677 states/eV/atom